This record from the Alexandria database describes a relaxed SmY14Cd crystal. The functional is PBE-GGA.

Cell: 11.300 7.226 12.494 Å, 90.00 90.00 90.00°
Space group Amm2 (No. 38)
Unique sites:
Sm1 0.000 0.000 0.000 [2 per cell]
Y1 0.000 0.242 0.760 [4 per cell]
Y2 0.244 0.000 0.343 [4 per cell]
Y3 0.244 0.249 0.591 [8 per cell]
Y4 0.255 0.000 0.841 [4 per cell]
Y5 0.500 0.000 0.011 [2 per cell]
Y6 0.500 0.000 0.509 [2 per cell]
Y7 0.500 0.248 0.258 [4 per cell]
Cd1 0.000 0.000 0.508 [2 per cell]

Properties
Total DFT energy (no corrections), eV/atom: -6.03
Formation enthalpy at 0 K, meV/atom: -22
M_tot, μB per atom: 0.00